# 1
Computed, not measured: a relaxed EuMg3 crystal at the PBE level of DFT.

## Properties
**Calculated volume**: 27.921 A^3/atom
**ΔH_f (0 K)**: -0.023 eV/atom
**Energy**: -15.2 eV per cell

Cell and atoms, written as POSCAR:
```
EuMg3
1.0
4.727 0.000 0.000
0.000 4.819 0.000
0.000 0.000 4.903
Eu Mg
1 3
direct
0.000 0.000 0.000
0.000 0.500 0.500
0.500 0.000 0.500
0.500 0.500 0.000
```

***

# 2
Computed, not measured: a relaxed HPd2PtRh crystal at the PBE level of DFT.

## Properties
**Calculated volume**: 12.661 A^3/atom
**Energy**: -26.8 eV per cell

Cell and atoms, written as POSCAR:
```
HPd2PtRh
1.0
3.996 0.000 0.000
0.000 3.996 0.000
0.000 0.000 3.965
H Pd Pt Rh
1 2 1 1
direct
0.000 0.000 0.000
0.000 0.500 0.000
0.500 0.000 0.000
0.000 0.000 0.500
0.500 0.500 0.500
```